Computed, not measured: an optimized crystal structure of Tb2Sm2Dy15 at the PBE level of DFT.

Output
crystal system = trigonal
energy of formation from the pure elements = 0.28 eV per atom

Cell: 8.719 8.719 8.719 Å, 79.54 79.54 79.54°
Sites, in units of the cell vectors:
Tb: 0.095 0.095 0.095
Tb: 0.905 0.905 0.905
Sm: 0.324 0.324 0.324
Sm: 0.676 0.676 0.676
Dy: 0.000 0.000 0.500
Dy: 0.000 0.298 0.702
Dy: 0.000 0.500 0.000
Dy: 0.000 0.702 0.298
Dy: 0.149 0.629 0.629
Dy: 0.298 0.000 0.702
Dy: 0.298 0.702 0.000
Dy: 0.371 0.371 0.851
Dy: 0.371 0.851 0.371
Dy: 0.500 0.000 0.000
Dy: 0.629 0.149 0.629
Dy: 0.629 0.629 0.149
Dy: 0.702 0.000 0.298
Dy: 0.702 0.298 0.000
Dy: 0.851 0.371 0.371



Computed, not measured: an optimized crystal structure of Tb5SmDy at the PBE level of DFT.

Output
crystal system = orthorhombic
energy of formation from the pure elements = 0.96 eV per atom

Cell: 7.720 7.720 7.720 Å, 117.75 81.58 132.90°
Sites, in units of the cell vectors:
Tb: 0.000 0.000 0.000
Tb: 0.491 0.737 0.754
Tb: 0.735 0.056 0.322
Tb: 0.735 0.413 0.678
Tb: 0.983 0.737 0.246
Sm: 0.470 0.470 0.000
Dy: 0.234 0.734 0.500



Computed, not measured: an optimized crystal structure of Tb5Sm3Dy2 at the PBE level of DFT.

Output
crystal system = monoclinic
energy of formation from the pure elements = 0.20 eV per atom

Cell: 9.558 9.558 9.483 Å, 108.35 108.35 111.82°
Sites, in units of the cell vectors:
Tb: 0.024 0.976 0.750
Tb: 0.149 0.384 0.781
Tb: 0.273 0.727 0.250
Tb: 0.384 0.149 0.281
Tb: 0.470 0.530 0.250
Tb: 0.530 0.470 0.750
Tb: 0.616 0.851 0.719
Tb: 0.727 0.273 0.750
Tb: 0.851 0.616 0.219
Tb: 0.976 0.024 0.250
Sm: 0.016 0.267 0.047
Sm: 0.232 0.768 0.750
Sm: 0.267 0.016 0.547
Sm: 0.733 0.984 0.453
Sm: 0.768 0.232 0.250
Sm: 0.984 0.733 0.953
Dy: 0.225 0.463 0.454
Dy: 0.463 0.225 0.954
Dy: 0.537 0.775 0.046
Dy: 0.775 0.537 0.546



Computed, not measured: an optimized crystal structure of Tb2Sm9Dy at the PBE level of DFT.

Output
crystal system = tetragonal
energy of formation from the pure elements = 0.02 eV per atom

Cell: 5.102 5.102 15.306 Å, 90.00 90.00 90.00°
Sites, in units of the cell vectors:
Tb: 0.000 0.000 0.167
Tb: 0.000 0.000 0.833
Sm: 0.000 0.500 0.000
Sm: 0.000 0.500 0.334
Sm: 0.000 0.500 0.666
Sm: 0.500 0.000 0.000
Sm: 0.500 0.000 0.334
Sm: 0.500 0.000 0.666
Sm: 0.500 0.500 0.167
Sm: 0.500 0.500 0.500
Sm: 0.500 0.500 0.833
Dy: 0.000 0.000 0.500



Q: Which formula does entry 2 have?
A: Tb5SmDy